# 1
# Tb2Sm2Th GGA-PBE relaxed
data_Tb2Sm2Th
_cell_length_a 8.4546
_cell_length_b 9.8366
_cell_length_c 9.0896
_cell_angle_alpha 90.00
_cell_angle_beta 117.40
_cell_angle_gamma 90.00
_space_group_name_H-M_alt 'C 1 2/m 1'
_space_group_IT_number 12
_space_group_name_Hall '-C 2y'
loop_
_atom_site_label
_atom_site_type_symbol
_atom_site_fract_x
_atom_site_fract_y
_atom_site_fract_z
Tb1 Tb 0.1558 0.0000 0.4079
Tb2 Tb 0.2180 0.5000 0.1243
Sm1 Sm 0.0407 0.3220 0.7002
Th1 Th 0.0000 0.1680 0.0000
# Size of the total moment ... 0.00 μB per atom
# Distance to the lowest polymorph of the same formula ... 89 meV per atom
# Density of states at the Fermi level ... 1.48 states/eV/atom
# Calculated formation energy ... 146 meV/atom
# Uncorrected energy ... -101.55 eV/cell

---

# 2
# Tb6SmTh GGA-PBE relaxed
data_Tb6SmTh
_cell_length_a 5.0515
_cell_length_b 5.0515
_cell_length_c 10.0731
_cell_angle_alpha 90.00
_cell_angle_beta 90.00
_cell_angle_gamma 90.00
_space_group_name_H-M_alt 'P 4/m m m'
_space_group_IT_number 123
_space_group_name_Hall '-P 4 2'
loop_
_atom_site_label
_atom_site_type_symbol
_atom_site_fract_x
_atom_site_fract_y
_atom_site_fract_z
Tb1 Tb 0.0000 0.0000 0.0000
Tb2 Tb 0.0000 0.0000 0.5000
Tb3 Tb 0.0000 0.5000 0.2464
Sm1 Sm 0.5000 0.5000 0.5000
Th1 Th 0.5000 0.5000 0.0000
# Size of the total moment ... 0.00 μB per atom
# Density of states at the Fermi level ... 1.33 states/eV/atom
# Calculated formation energy ... 27 meV/atom
# Uncorrected energy ... -39.71 eV/cell